(1)
! Nb6AlOs, relaxed, DFT PBE-GGA; values from VASP
! space group: Amm2, No. 38
! energy relative to the elements: -144.7 kJ/mol of formula units
&SYSTEM
  ibrav = 0, nat = 8, ntyp = 3
/
ATOMIC_SPECIES
Al 26.98 Al.upf
Nb 92.91 Nb.upf
Os 190.23 Os.upf
CELL_PARAMETERS angstrom
-1.3841 -3.1927 3.0558
-3.8460 -1.8576 -3.6828
4.8457 -2.7930 -0.7233
ATOMIC_POSITIONS angstrom
Al 0.7991 -4.0283 -0.3375
Nb -1.0423 -4.9956 -2.1822
Nb -0.5040 -2.2172 -2.5448
Nb -3.4549 -3.5705 -1.7861
Nb 1.8798 -3.6335 -2.9448
Nb 1.3694 -1.2591 -0.6953
Nb -1.5552 -2.6095 0.0784
Os 3.7416 -2.6742 -1.0992

(2)
! La2AlI, relaxed, DFT PBE-GGA; values from VASP
! space group: R-3m, No. 166
&SYSTEM
  ibrav = 0, nat = 4, ntyp = 3
/
ATOMIC_SPECIES
La 138.91 La.upf
I 126.90 I.upf
Al 26.98 Al.upf
CELL_PARAMETERS angstrom
4.5101 0.0000 0.0000
2.2551 3.9059 0.0000
2.2551 1.3020 7.7465
ATOMIC_POSITIONS angstrom
La 6.7652 3.9059 6.0118
La 2.2551 1.3020 1.7347
I 4.5101 2.6039 3.8732
Al 0.0000 0.0000 0.0000

no.,excess energy over the best structure of this formula in the dataset (kcal/mol of atoms)
1,1.95
2,0.95